Entry from the Alexandria database: a relaxed structure of Rb2VHgO4 (PBE with a Hubbard U).

a b c (Å): 6.629 6.629 7.585
angles (deg): 90.00 90.00 90.00
Space group I-4 (No. 82)
Unique sites:
Rb 0.000 0.000 0.000 (multiplicity 2)
Rb 0.000 0.500 0.250 (multiplicity 2)
V 0.000 0.500 0.750 (multiplicity 2)
Hg 0.000 0.000 0.500 (multiplicity 2)
O 0.138 0.669 0.618 (multiplicity 8)

Output
Calculated density   4.8 g/cm³
M_tot   1.47 μB per cell
Fermi-level density of states   0.47 states/eV/atom
Raw total energy   -82.86 eV per cell